[1]
{"formula": "Fe2Co", "functional": "PBEsol", "state": "optimized geometry", "formation_enthalpy_0k_mev_per_atom": 21, "cell": [[2.4240, 0.0000, 0.0000], [0.8187, 4.5577, 0.0000], [0.7980, 1.1436, 5.9288]], "species": ["Fe", "Fe", "Fe", "Fe", "Co", "Co"], "fractional_positions": [[0.0000, 0.0000, 0.0000], [0.1676, 0.1676, 0.3343], [0.5000, 0.5000, 0.0000], [0.8324, 0.8324, 0.6657], [0.3291, 0.3328, 0.6668], [0.6709, 0.6672, 0.3332]]}

***

[2]
{"formula": "MgCuSi4O10", "functional": "PBEsol", "state": "optimized geometry", "formation_energy_uncorrected_ev_per_fu": -39.54, "cell": [[7.1727, 0.0000, 0.0000], [0.0000, 7.1727, 0.0000], [0.0000, 0.0000, 14.7235]], "species": ["Mg", "Mg", "Mg", "Mg", "Cu", "Cu", "Cu", "Cu", "Si", "Si", "Si", "Si", "Si", "Si", "Si", "Si", "Si", "Si", "Si", "Si", "Si", "Si", "Si", "Si", "O", "O", "O", "O", "O", "O", "O", "O", "O", "O", "O", "O", "O", "O", "O", "O", "O", "O", "O", "O", "O", "O", "O", "O", "O", "O", "O", "O", "O", "O", "O", "O", "O", "O", "O", "O", "O", "O", "O", "O"], "fractional_positions": [[0.2500, 0.7500, 0.0000], [0.2500, 0.7500, 0.5000], [0.7500, 0.2500, 0.0000], [0.7500, 0.2500, 0.5000], [0.2500, 0.2500, 0.0714], [0.2500, 0.2500, 0.5714], [0.7500, 0.7500, 0.4286], [0.7500, 0.7500, 0.9286], [0.0083, 0.5795, 0.1430], [0.0083, 0.9205, 0.6430], [0.0795, 0.5083, 0.3570], [0.0795, 0.9917, 0.8570], [0.4205, 0.5083, 0.8570], [0.4205, 0.9917, 0.3570], [0.4917, 0.5795, 0.6430], [0.4917, 0.9205, 0.1430], [0.5083, 0.0795, 0.8570], [0.5083, 0.4205, 0.3570], [0.5795, 0.0083, 0.6430], [0.5795, 0.4917, 0.1430], [0.9205, 0.0083, 0.1430], [0.9205, 0.4917, 0.6430], [0.9917, 0.0795, 0.3570], [0.9917, 0.4205, 0.8570], [0.0059, 0.6971, 0.6213], [0.0059, 0.8029, 0.1213], [0.0083, 0.6682, 0.4257], [0.0083, 0.8318, 0.9257], [0.0495, 0.5495, 0.2500], [0.0495, 0.9505, 0.7500], [0.1682, 0.5083, 0.0743], [0.1682, 0.9917, 0.5743], [0.1971, 0.5059, 0.8787], [0.1971, 0.9941, 0.3787], [0.3029, 0.5059, 0.3787], [0.3029, 0.9941, 0.8787], [0.3318, 0.5083, 0.5743], [0.3318, 0.9917, 0.0743], [0.4505, 0.5495, 0.7500], [0.4505, 0.9505, 0.2500], [0.4917, 0.6682, 0.9257], [0.4917, 0.8318, 0.4257], [0.4941, 0.6971, 0.1213], [0.4941, 0.8029, 0.6213], [0.5059, 0.1971, 0.3787], [0.5059, 0.3029, 0.8787], [0.5083, 0.1682, 0.5743], [0.5083, 0.3318, 0.0743], [0.5495, 0.0495, 0.7500], [0.5495, 0.4505, 0.2500], [0.6682, 0.0083, 0.9257], [0.6682, 0.4917, 0.4257], [0.6971, 0.0059, 0.1213], [0.6971, 0.4941, 0.6213], [0.8029, 0.0059, 0.6213], [0.8029, 0.4941, 0.1213], [0.8318, 0.0083, 0.4257], [0.8318, 0.4917, 0.9257], [0.9505, 0.0495, 0.2500], [0.9505, 0.4505, 0.7500], [0.9917, 0.1682, 0.0743], [0.9917, 0.3318, 0.5743], [0.9941, 0.1971, 0.8787], [0.9941, 0.3029, 0.3787]]}

***

[3]
{"formula": "KMoP4", "functional": "PBEsol", "state": "optimized geometry", "formation_enthalpy_0k_mev_per_atom": 719, "cell": [[0.0000, 3.6713, 3.6713], [3.6713, 0.0000, 3.6713], [3.6713, 3.6713, 0.0000]], "species": ["K", "Mo", "P", "P", "P", "P"], "fractional_positions": [[0.0000, 0.0000, 0.0000], [0.2500, 0.2500, 0.2500], [0.1459, 0.6180, 0.6180], [0.6180, 0.1459, 0.6180], [0.6180, 0.6180, 0.1459], [0.6180, 0.6180, 0.6180]]}

***

[4]
{"formula": "KZrBe2", "functional": "PBEsol", "state": "optimized geometry", "polymorph_energy_mev_per_atom": 0, "formation_enthalpy_0k_mev_per_atom": 481, "cell": [[3.3778, 0.0000, 0.0000], [0.0000, 3.3778, 0.0000], [0.0000, 0.0000, 7.3019]], "species": ["K", "Zr", "Be", "Be"], "fractional_positions": [[0.0000, 0.0000, 0.0000], [0.0000, 0.0000, 0.5000], [0.5000, 0.5000, 0.3447], [0.5000, 0.5000, 0.6553]]}

***

[5]
{"formula": "ZnCrHg", "functional": "PBEsol", "state": "optimized geometry", "polymorph_energy_mev_per_atom": 284, "formation_enthalpy_0k_mev_per_atom": 635, "cell": [[0.0000, 3.0949, 3.0949], [3.0949, 0.0000, 3.0949], [3.0949, 3.0949, 0.0000]], "species": ["Zn", "Cr", "Hg"], "fractional_positions": [[0.0000, 0.0000, 0.0000], [0.5000, 0.5000, 0.5000], [0.2500, 0.2500, 0.2500]]}

***

[6]
{"formula": "Ca3YPb", "functional": "PBEsol", "state": "optimized geometry", "formation_enthalpy_0k_mev_per_atom": 178, "cell": [[5.8978, 0.0000, 0.0000], [0.0000, 5.8978, 0.0000], [0.0000, 0.0000, 5.8978]], "species": ["Ca", "Ca", "Ca", "Y", "Pb"], "fractional_positions": [[0.0000, 0.0000, 0.5000], [0.0000, 0.5000, 0.0000], [0.5000, 0.0000, 0.0000], [0.5000, 0.5000, 0.5000], [0.0000, 0.0000, 0.0000]]}

***

[7]
{"formula": "Li2FeHg", "functional": "PBEsol", "state": "optimized geometry", "formation_enthalpy_0k_mev_per_atom": 183, "cell": [[2.6920, -4.0795, 0.0000], [2.6920, 4.0795, 0.0000], [0.0000, 0.0000, 2.7478]], "species": ["Li", "Li", "Fe", "Hg"], "fractional_positions": [[0.0000, 0.5000, 0.0000], [0.5000, 0.0000, 0.0000], [0.0000, 0.0000, 0.5000], [0.5000, 0.5000, 0.5000]]}

***

[8]
{"formula": "InSbW", "functional": "PBEsol", "state": "optimized geometry", "polymorph_energy_mev_per_atom": 0, "formation_energy_uncorrected_ev_per_fu": 1.96, "cell": [[4.8662, 0.0000, 0.0000], [-2.4331, 4.2142, 0.0000], [0.0000, 0.0000, 2.9338]], "species": ["In", "Sb", "W"], "fractional_positions": [[0.0000, 0.0000, 0.0000], [0.3333, 0.6667, 0.5000], [0.6667, 0.3333, 0.5000]]}

***

[9]
{"formula": "TmCuW2O8", "functional": "PBEsol", "state": "optimized geometry", "formation_energy_uncorrected_ev_per_fu": -27.19, "cell": [[4.9689, 0.0000, 0.0000], [0.0000, 5.8240, 0.0000], [-4.5037, 0.0000, 9.7983]], "species": ["Tm", "Tm", "Cu", "Cu", "W", "W", "W", "W", "O", "O", "O", "O", "O", "O", "O", "O", "O", "O", "O", "O", "O", "O", "O", "O"], "fractional_positions": [[0.0000, 0.1774, 0.2500], [0.0000, 0.8226, 0.7500], [0.5000, 0.2044, 0.7500], [0.5000, 0.7956, 0.2500], [0.2352, 0.3253, 0.9868], [0.2352, 0.6747, 0.4868], [0.7648, 0.3253, 0.5132], [0.7648, 0.6747, 0.0132], [0.1622, 0.4110, 0.6137], [0.1622, 0.5890, 0.1137], [0.2180, 0.1284, 0.1129], [0.2180, 0.8716, 0.6129], [0.2708, 0.1341, 0.8613], [0.2708, 0.8659, 0.3613], [0.3409, 0.3859, 0.4039], [0.3409, 0.6141, 0.9039], [0.6591, 0.3859, 0.0961], [0.6591, 0.6141, 0.5961], [0.7292, 0.1341, 0.6387], [0.7292, 0.8659, 0.1387], [0.7820, 0.1284, 0.3871], [0.7820, 0.8716, 0.8871], [0.8378, 0.4110, 0.8863], [0.8378, 0.5890, 0.3863]]}

***

[10]
{"formula": "Ca2AgSn2", "functional": "PBEsol", "state": "optimized geometry", "polymorph_energy_mev_per_atom": 629, "formation_enthalpy_0k_mev_per_atom": 106, "cell": [[-2.4269, 2.4269, 6.4902], [2.4269, -2.4269, 6.4902], [2.4269, 2.4269, -6.4902]], "species": ["Ca", "Ca", "Ag", "Sn", "Sn"], "fractional_positions": [[0.2500, 0.7500, 0.5000], [0.7500, 0.2500, 0.5000], [0.0000, 0.0000, 0.0000], [0.3992, 0.3992, 0.0000], [0.6008, 0.6008, 0.0000]]}

***

[11]
{"formula": "SiSnSbPt2", "functional": "PBEsol", "state": "optimized geometry", "formation_energy_uncorrected_ev_per_fu": 1.68, "cell": [[4.5521, 0.0000, 0.0000], [0.0000, 4.5521, 0.0000], [0.0000, 0.0000, 5.2117]], "species": ["Si", "Sn", "Sb", "Pt", "Pt"], "fractional_positions": [[0.0000, 0.0000, 0.0000], [0.0000, 0.0000, 0.5000], [0.5000, 0.5000, 0.5000], [0.0000, 0.5000, 0.0000], [0.5000, 0.0000, 0.0000]]}

***

[12]
{"formula": "AlInAg2", "functional": "PBEsol", "state": "optimized geometry", "formation_enthalpy_0k_mev_per_atom": -21, "cell": [[3.2008, 0.0000, 0.0000], [0.0000, 4.0112, 0.0000], [0.0000, 0.0000, 5.5866]], "species": ["Al", "In", "Ag", "Ag"], "fractional_positions": [[0.0000, 0.0000, 0.0000], [0.5000, 0.5000, 0.2816], [0.0000, 0.0000, 0.5223], [0.5000, 0.5000, 0.7852]]}

***

[13]
{"formula": "CrIrF2", "functional": "PBEsol", "state": "optimized geometry", "formation_energy_uncorrected_ev_per_fu": -0.87, "cell": [[-3.3707, 3.3707, 2.3645], [3.3707, -3.3707, 2.3645], [3.3707, 3.3707, -2.3645]], "species": ["Cr", "Cr", "Ir", "Ir", "F", "F", "F", "F"], "fractional_positions": [[0.0000, 0.0000, 0.0000], [0.7500, 0.2500, 0.5000], [0.2500, 0.7500, 0.5000], [0.5000, 0.5000, 0.0000], [0.3750, 0.2444, 0.3694], [0.7556, 0.1250, 0.1306], [0.8750, 0.0056, 0.6306], [0.9944, 0.6250, 0.8694]]}

***

[14]
{"formula": "MnBeAu2", "functional": "PBEsol", "state": "optimized geometry", "formation_enthalpy_0k_mev_per_atom": -52, "cell": [[2.9124, 0.0000, 0.0000], [0.0000, 2.9124, 0.0000], [0.0000, 0.0000, 6.5954]], "species": ["Mn", "Be", "Au", "Au"], "fractional_positions": [[0.0000, 0.0000, 0.0000], [0.0000, 0.0000, 0.5000], [0.5000, 0.5000, 0.2811], [0.5000, 0.5000, 0.7189]]}

***

[15]
{"formula": "Sm3Ge2Ru2", "functional": "PBEsol", "state": "optimized geometry", "formation_enthalpy_0k_mev_per_atom": -650, "cell": [[5.5764, 0.0000, 0.0000], [0.0000, 7.7683, 0.0000], [0.0000, 0.0000, 13.4601]], "species": ["Sm", "Sm", "Sm", "Sm", "Sm", "Sm", "Sm", "Sm", "Sm", "Sm", "Sm", "Sm", "Ge", "Ge", "Ge", "Ge", "Ge", "Ge", "Ge", "Ge", "Ru", "Ru", "Ru", "Ru", "Ru", "Ru", "Ru", "Ru"], "fractional_positions": [[0.1266, 0.2358, 0.2500], [0.1266, 0.2642, 0.7500], [0.3499, 0.5973, 0.0987], [0.3499, 0.5973, 0.4013], [0.3499, 0.9027, 0.5987], [0.3499, 0.9027, 0.9013], [0.6501, 0.0973, 0.0987], [0.6501, 0.0973, 0.4013], [0.6501, 0.4027, 0.5987], [0.6501, 0.4027, 0.9013], [0.8734, 0.7358, 0.2500], [0.8734, 0.7642, 0.7500], [0.1214, 0.2500, 0.0000], [0.1214, 0.2500, 0.5000], [0.3687, 0.6126, 0.7500], [0.3687, 0.8874, 0.2500], [0.6313, 0.1126, 0.7500], [0.6313, 0.3874, 0.2500], [0.8786, 0.7500, 0.0000], [0.8786, 0.7500, 0.5000], [0.1464, 0.5317, 0.5909], [0.1464, 0.5317, 0.9091], [0.1464, 0.9683, 0.0909], [0.1464, 0.9683, 0.4091], [0.8536, 0.0317, 0.5909], [0.8536, 0.0317, 0.9091], [0.8536, 0.4683, 0.0909], [0.8536, 0.4683, 0.4091]]}

***

[16]
{"formula": "YCoC", "functional": "PBEsol", "state": "optimized geometry", "polymorph_energy_mev_per_atom": 0, "formation_enthalpy_0k_mev_per_atom": -353, "cell": [[3.5802, 0.0000, 0.0000], [0.0000, 3.5802, 0.0000], [0.0000, 0.0000, 6.8430]], "species": ["Y", "Y", "Co", "Co", "C", "C"], "fractional_positions": [[0.0000, 0.0000, 0.2500], [0.0000, 0.0000, 0.7500], [0.5000, 0.5000, 0.0000], [0.5000, 0.5000, 0.5000], [0.0000, 0.5000, 0.0000], [0.5000, 0.0000, 0.5000]]}

***

[17]
{"formula": "ErPt5", "functional": "PBEsol", "state": "optimized geometry", "formation_enthalpy_0k_mev_per_atom": -642, "cell": [[5.2502, 0.0000, 0.0000], [-2.6251, 4.5468, 0.0000], [0.0000, 0.0000, 4.4096]], "species": ["Er", "Pt", "Pt", "Pt", "Pt", "Pt"], "fractional_positions": [[0.0000, 0.0000, 0.0000], [0.0000, 0.5000, 0.5000], [0.3333, 0.6667, 0.0000], [0.5000, 0.0000, 0.5000], [0.5000, 0.5000, 0.5000], [0.6667, 0.3333, 0.0000]]}

***

[18]
{"formula": "Zr2ScTe", "functional": "PBEsol", "state": "optimized geometry", "formation_energy_uncorrected_ev_per_fu": -1.60, "cell": [[3.4671, 0.0000, 0.0000], [0.0000, 4.7248, 0.0000], [-1.1476, 0.0000, 5.3485]], "species": ["Zr", "Zr", "Sc", "Te"], "fractional_positions": [[0.0000, 0.0000, 0.0000], [0.2163, 0.5000, 0.6179], [0.5802, 0.5000, 0.1387], [0.6652, 0.0000, 0.4622]]}

***

[19]
{"formula": "LaTcAs", "functional": "PBEsol", "state": "optimized geometry", "polymorph_energy_mev_per_atom": 0, "formation_enthalpy_0k_mev_per_atom": 59, "cell": [[0.0000, 3.2545, 3.2545], [3.2545, 0.0000, 3.2545], [3.2545, 3.2545, 0.0000]], "species": ["La", "Tc", "As"], "fractional_positions": [[0.0000, 0.0000, 0.0000], [0.5000, 0.5000, 0.5000], [0.7500, 0.7500, 0.7500]]}

***

[20]
{"formula": "KMg2Be2", "functional": "PBEsol", "state": "optimized geometry", "formation_enthalpy_0k_mev_per_atom": 532, "cell": [[8.1475, 0.0000, 0.0000], [0.0000, 8.1475, 0.0000], [0.0000, 0.0000, 2.9424]], "species": ["K", "K", "Mg", "Mg", "Mg", "Mg", "Be", "Be", "Be", "Be"], "fractional_positions": [[0.0000, 0.0000, 0.0000], [0.5000, 0.5000, 0.0000], [0.1691, 0.3309, 0.5000], [0.3309, 0.8309, 0.5000], [0.6691, 0.1691, 0.5000], [0.8309, 0.6691, 0.5000], [0.1039, 0.6039, 0.0000], [0.3961, 0.1039, 0.0000], [0.6039, 0.8961, 0.0000], [0.8961, 0.3961, 0.0000]]}